1.
{
  "formula": "Ac2HoGa3Pt4",
  "functional": "PBE-GGA",
  "state": "optimized geometry",
  "space_group": "No. 115",
  "formation_enthalpy_0k_ev_per_fu": -10.1,
  "cell": [[-4.4024, 0.0087, -0.3752], [-0.1118, -4.2469, 1.2136], [-0.9159, 3.1154, 10.8179]],
  "species": ["Ac", "Ac", "Ho", "Ga", "Ga", "Ga", "Pt", "Pt", "Pt", "Pt"],
  "frac_coords": [[0.5000, 0.0000, 0.2316], [0.0000, 0.5000, 0.7684], [0.5000, 0.5000, 0.5000], [0.0000, 0.0000, 0.5000], [0.5000, 0.0000, 0.8827], [0.0000, 0.5000, 0.1173], [0.5000, 0.5000, 0.0000], [0.0000, 0.0000, 0.0000], [0.5000, 0.0000, 0.6542], [0.0000, 0.5000, 0.3458]]
}

=====

2.
{
  "formula": "AcTbSb2",
  "functional": "PBE-GGA",
  "state": "optimized geometry",
  "space_group": "No. 194",
  "de_polymorph_ev_per_atom": 0.034,
  "e_form_raw_ev_per_atom": -1.13,
  "cell": [[4.5721, 0.0000, 0.0000], [-2.2861, 3.9596, 0.0000], [0.0000, 0.0000, 15.1542]],
  "species": ["Ac", "Ac", "Tb", "Tb", "Sb", "Sb", "Sb", "Sb"],
  "frac_coords": [[0.6667, 0.3333, 0.2500], [0.3333, 0.6667, 0.7500], [0.0000, 0.0000, 0.5000], [0.0000, 0.0000, 0.0000], [0.3333, 0.6667, 0.3874], [0.6667, 0.3333, 0.8874], [0.6667, 0.3333, 0.6126], [0.3333, 0.6667, 0.1126]]
}

=====

3.
{
  "formula": "PrNd2Ni2Ge2",
  "functional": "PBE-GGA",
  "state": "optimized geometry",
  "space_group": "No. 166",
  "formation_enthalpy_0k_ev_per_fu": -4.1,
  "cell": [[-1.9258, 0.2068, 3.8211], [-1.9728, -3.4524, 1.5940], [7.3037, -3.9249, 6.2949]],
  "species": ["Pr", "Nd", "Nd", "Ni", "Ni", "Ge", "Ge"],
  "frac_coords": [[0.0000, 0.0000, 0.0000], [0.1217, 0.1217, 0.6349], [0.8783, 0.8783, 0.3651], [0.6029, 0.6029, 0.1914], [0.3971, 0.3971, 0.8086], [0.7340, 0.7340, 0.7980], [0.2660, 0.2660, 0.2020]]
}

=====

4.
{
  "formula": "KZnRu2",
  "functional": "PBE-GGA",
  "state": "optimized geometry",
  "space_group": "No. 123",
  "formation_enthalpy_0k_ev_per_fu": 3.1,
  "cell": [[2.7034, 0.0000, 0.0000], [0.0000, 2.7034, 0.0000], [0.0000, 0.0000, 9.5335]],
  "species": ["K", "Ru", "Ru", "Zn"],
  "frac_coords": [[0.5000, 0.5000, 0.7500], [0.0000, 0.0000, 0.0472], [0.0000, 0.0000, 0.4528], [0.5000, 0.5000, 0.2500]]
}

=====

5.
{
  "formula": "BaLiAlSn3",
  "functional": "PBE-GGA",
  "state": "optimized geometry",
  "space_group": "No. 63",
  "formation_enthalpy_0k_ev_per_fu": -1.0,
  "cell": [[6.7507, 0.0000, 0.0000], [0.0000, 7.5552, 0.0000], [0.0000, -3.7776, 7.0476]],
  "species": ["Ba", "Ba", "Li", "Li", "Al", "Al", "Sn", "Sn", "Sn", "Sn", "Sn", "Sn"],
  "frac_coords": [[0.7500, 0.2241, 0.4483], [0.2500, 0.7759, 0.5517], [0.2500, 0.5130, 0.0261], [0.7500, 0.4870, 0.9739], [0.2500, 0.1298, 0.2596], [0.7500, 0.8702, 0.7405], [0.2500, 0.3202, 0.6404], [0.0000, 0.2000, 0.0000], [0.5000, 0.8000, 0.0000], [0.5000, 0.2000, 0.0000], [0.0000, 0.8000, 0.0000], [0.7500, 0.6798, 0.3596]]
}

=====

6.
{
  "formula": "RhIO2",
  "functional": "PBE-GGA",
  "state": "optimized geometry",
  "space_group": "No. 166",
  "de_polymorph_ev_per_atom": 0.490,
  "e_form_raw_ev_per_atom": 0.29,
  "cell": [[-2.4471, 6.7773, 3.7888], [0.6658, 7.2442, 3.6541], [-1.1448, 7.9730, 1.1810]],
  "species": ["I", "Rh", "O", "O"],
  "frac_coords": [[0.5000, 0.5000, 0.5000], [0.0000, 0.0000, 0.0000], [0.9262, 0.9262, 0.9262], [0.0738, 0.0738, 0.0738]]
}